Record 1
The following is a DFT calculation (PBE) of a relaxed structure of Ce6Tc2Ge.

* density: 8.54 Mg/m³
* crystal system: orthorhombic
* magnetic moment: 1.80 μB/f.u.
* final energy: -6.981 eV per atom
* offset from the most stable computed form: 0.0455 eV per atom
* formation energy: -0.208 eV/atom

POSCAR file:
```
Ce6Tc2Ge
1.0
-4.389 4.494 5.467
4.389 -4.494 5.467
4.389 4.494 -5.467
Ce Tc Ge
12 4 2
Direct
0.031 0.834 0.197
0.244 0.570 0.326
0.244 0.919 0.674
0.293 0.312 0.606
0.293 0.688 0.981
0.363 0.166 0.197
0.637 0.834 0.803
0.707 0.312 0.019
0.707 0.688 0.394
0.756 0.081 0.326
0.756 0.430 0.674
0.969 0.166 0.803
0.000 0.176 0.176
0.000 0.824 0.824
0.363 0.363 0.000
0.637 0.637 0.000
0.000 0.500 0.500
0.500 0.000 0.500
```

=====

Record 2
The following is a DFT calculation (PBE) of a relaxed structure of Ce6Tc2Ge.

* density: 8.54 Mg/m³
* crystal system: monoclinic
* magnetic moment: 0.00 μB/f.u.
* final energy: -7.026 eV per atom
* offset from the most stable computed form: 0.0000 eV per atom
* formation energy: -0.254 eV/atom

POSCAR file:
```
Ce6Tc2Ge
1.0
5.055 -2.477 0.000
5.055 2.477 0.000
-0.975 0.000 8.610
Ce Tc Ge
6 2 1
Direct
0.047 0.047 0.354
0.309 0.309 0.894
0.390 0.390 0.331
0.610 0.610 0.669
0.691 0.691 0.106
0.953 0.953 0.646
0.273 0.273 0.619
0.727 0.727 0.381
0.000 0.000 0.000
```

=====

Record 3
The following is a DFT calculation (PBE) of a relaxed structure of Ce2TcGe.

* density: 8.73 Mg/m³
* crystal system: tetragonal
* magnetic moment: 0.00 μB/f.u.
* final energy: -7.044 eV per atom
* offset from the most stable computed form: 0.0725 eV per atom
* formation energy: -0.332 eV/atom

POSCAR file:
```
Ce2TcGe
1.0
3.732 0.000 0.000
0.000 3.732 0.000
0.000 0.000 6.156
Ce Tc Ge
2 1 1
Direct
0.000 0.000 0.241
0.000 0.000 0.759
0.500 0.500 0.500
0.500 0.500 0.000
```

=====

Record 4
The following is a DFT calculation (PBE) of a relaxed structure of Ce12Tc6Ge.

* density: 8.89 Mg/m³
* crystal system: trigonal
* magnetic moment: 0.00 μB/f.u.
* final energy: -7.314 eV per atom
* formation energy: -0.049 eV/atom

POSCAR file:
```
Ce12Tc6Ge
1.0
6.550 3.782 2.943
-6.550 3.782 2.943
0.000 -7.564 2.943
Ce Tc Ge
12 6 1
Direct
0.089 0.156 0.400
0.156 0.400 0.089
0.177 0.661 0.494
0.339 0.506 0.823
0.400 0.089 0.156
0.494 0.177 0.661
0.506 0.823 0.339
0.600 0.911 0.844
0.661 0.494 0.177
0.823 0.339 0.506
0.844 0.600 0.911
0.911 0.844 0.600
0.121 0.865 0.286
0.135 0.714 0.879
0.286 0.121 0.865
0.714 0.879 0.135
0.865 0.286 0.121
0.879 0.135 0.714
0.500 0.500 0.500
```

=====

Record 5
The following is a DFT calculation (PBE) of a relaxed structure of Ce2TcGe.

* density: 8.79 Mg/m³
* crystal system: trigonal
* magnetic moment: 0.00 μB/f.u.
* final energy: -6.625 eV per atom
* offset from the most stable computed form: 0.4922 eV per atom
* formation energy: 0.088 eV/atom

POSCAR file:
```
Ce2TcGe
1.0
1.563 0.902 10.064
-1.563 0.902 10.064
0.000 -1.805 10.064
Ce Tc Ge
2 1 1
Direct
0.081 0.081 0.081
0.919 0.919 0.919
0.000 0.000 0.000
0.500 0.500 0.500
```

=====

Record 6
The following is a DFT calculation (PBE) of a relaxed structure of Ce2TcGe.

* density: 8.45 Mg/m³
* crystal system: cubic
* magnetic moment: 0.00 μB/f.u.
* final energy: -6.937 eV per atom
* offset from the most stable computed form: 0.1803 eV per atom
* formation energy: -0.224 eV/atom

POSCAR file:
```
Ce2TcGe
1.0
0.000 3.538 3.538
3.538 0.000 3.538
3.538 3.538 0.000
Ce Tc Ge
2 1 1
Direct
0.250 0.250 0.250
0.750 0.750 0.750
0.000 0.000 0.000
0.500 0.500 0.500
```

=====

Record 7
The following is a DFT calculation (PBE) of a relaxed structure of CeTc2Ge3.

* density: 8.46 Mg/m³
* crystal system: monoclinic
* magnetic moment: 0.44 μB/f.u.
* final energy: -7.088 eV per atom
* offset from the most stable computed form: 0.0000 eV per atom
* formation energy: -0.335 eV/atom

POSCAR file:
```
CeTc2Ge3
1.0
8.346 -1.948 0.000
8.346 1.948 0.000
-2.869 0.000 10.030
Ce Tc Ge
3 6 9
Direct
0.000 0.000 0.000
0.136 0.136 0.700
0.864 0.864 0.300
0.211 0.211 0.078
0.328 0.328 0.558
0.497 0.497 0.755
0.503 0.503 0.245
0.672 0.672 0.442
0.789 0.789 0.922
0.073 0.073 0.383
0.231 0.231 0.330
0.362 0.362 0.076
0.363 0.363 0.824
0.500 0.500 0.500
0.637 0.637 0.176
0.638 0.638 0.924
0.769 0.769 0.670
0.927 0.927 0.617
```

=====

Record 8
The following is a DFT calculation (PBE) of a relaxed structure of Ce2TcGe2.

* density: 7.92 Mg/m³
* crystal system: monoclinic
* magnetic moment: 1.51 μB/f.u.
* final energy: -6.871 eV per atom
* formation energy: -0.577 eV/atom

POSCAR file:
```
Ce2TcGe2
1.0
5.452 -2.172 0.000
5.452 2.172 0.000
-5.372 0.000 9.265
Ce Tc Ge
4 2 4
Direct
0.001 0.001 0.177
0.190 0.190 0.607
0.810 0.810 0.393
0.999 0.999 0.823
0.279 0.279 0.123
0.721 0.721 0.877
0.352 0.352 0.930
0.494 0.494 0.624
0.506 0.506 0.376
0.648 0.648 0.070
```

=====

Record 9
The following is a DFT calculation (PBE) of a relaxed structure of Ce2TcGe.

* density: 8.13 Mg/m³
* crystal system: orthorhombic
* magnetic moment: 0.75 μB/f.u.
* final energy: -6.994 eV per atom
* offset from the most stable computed form: 0.1226 eV per atom
* formation energy: -0.282 eV/atom

POSCAR file:
```
Ce2TcGe
1.0
2.167 -8.454 0.000
2.167 8.454 0.000
0.000 0.000 5.029
Ce Tc Ge
4 2 2
Direct
0.088 0.912 0.750
0.273 0.727 0.250
0.727 0.273 0.750
0.912 0.088 0.250
0.500 0.500 0.000
0.500 0.500 0.500
0.365 0.635 0.750
0.635 0.365 0.250
```

=====

Record 10
The following is a DFT calculation (PBE) of a relaxed structure of Ce2Tc3Ge2.

* density: 8.72 Mg/m³
* crystal system: monoclinic
* magnetic moment: 0.00 μB/f.u.
* final energy: -7.843 eV per atom
* formation energy: -0.386 eV/atom

POSCAR file:
```
Ce2Tc3Ge2
1.0
5.250 -2.116 0.000
5.250 2.116 0.000
-1.674 0.000 6.169
Ce Tc Ge
2 3 2
Direct
0.107 0.107 0.305
0.893 0.893 0.695
0.203 0.203 0.914
0.500 0.500 0.000
0.797 0.797 0.086
0.392 0.392 0.318
0.608 0.608 0.682
```